The following is a DFT calculation (PBE) of an optimized crystal structure of Na2Zr2TeSe6.

Results
uncorrected formation energy	-10.12	eV per formula unit
calculated total energy	-53.9	eV for the cell shown

abc: 7.324 7.324 7.324
angles: 97.97 97.97 124.53
Sites, in units of the cell vectors:
1 Se 0.551 0.936 0.271
2 Se 0.936 0.551 0.271
3 Na 0.853 0.147 0.000
4 Zr 0.672 0.328 0.500
5 Te 0.000 0.000 0.500
6 Se 0.064 0.449 0.729
7 Se 0.713 0.713 0.707
8 Zr 0.328 0.672 0.500
9 Se 0.449 0.064 0.729
10 Se 0.287 0.287 0.293
11 Na 0.147 0.853 0.000